MgBeMo2: relaxed, PBE.

Properties
- magnetic moment (μB per cell) = 0.000
- E_tot (eV/atom) = -6.4334
- relative energy among the computed polymorphs (eV/atom) = 0.115
- formation energy (eV per atom) = 0.312

a b c (Å): 6.1754 6.1960 4.3699
angles (deg): 90.00 134.88 90.00
Closest atoms and distances in Å follow each position.
Sites, in units of the cell vectors:
Mg (0.0000, 0.0000, 0.0000)  4 Mo 2.68, 4 Be 2.68
Mg (0.5000, 0.5000, 0.0000)  4 Mo 2.68, 4 Be 2.68
Be (0.0000, 0.7495, 0.5000)  4 Mo 2.67-2.69, 4 Mg 2.68
Be (0.5000, 0.2495, 0.5000)  4 Mo 2.67-2.69, 4 Mg 2.68
Mo (0.0000, 0.2498, 0.5000)  4 Mo 2.68, 4 Mg 2.68
Mo (0.0000, 0.5009, 0.0000)  4 Be 2.67-2.69, 4 Mo 2.68
Mo (0.5000, 0.0009, 0.0000)  4 Be 2.67-2.69, 4 Mo 2.68
Mo (0.5000, 0.7498, 0.5000)  4 Mo 2.68, 4 Mg 2.68